No. 1
A plane-wave DFT calculation with PBE-GGA was carried out for a relaxed LaTm14Sc crystal.

The calculation puts the density at 8.8 Mg/m³. As for the formation energy: 0.033 eV/atom.

Geometry as CIF:
```
data_LaTm14Sc
_space_group_name_H-M_alt 'P 4/m m m'
_space_group_IT_number 123
_space_group_name_Hall '-P 4 2'
_cell_length_a 6.976
_cell_length_b 6.976
_cell_length_c 9.849
_cell_angle_alpha 90.00
_cell_angle_beta 90.00
_cell_angle_gamma 90.00
loop_
_atom_site_label
_atom_site_fract_x
_atom_site_fract_y
_atom_site_fract_z
La1 0.000 0.000 0.000
Tm1 0.000 0.000 0.500
Tm2 0.000 0.500 0.000
Tm3 0.000 0.500 0.500
Tm4 0.253 0.253 0.250
Tm5 0.500 0.500 0.500
Sc1 0.500 0.500 0.000
```

No. 2
A plane-wave DFT calculation with PBE-GGA was carried out for a relaxed LiTm4Hg crystal.

The calculation puts the density at 8.2 Mg/m³. As for the formation energy: 0.195 eV/atom.

Geometry as CIF:
```
data_LiTm4Hg
_space_group_name_H-M_alt 'P 4/m m m'
_space_group_IT_number 123
_space_group_name_Hall '-P 4 2'
_cell_length_a 4.985
_cell_length_b 4.985
_cell_length_c 7.202
_cell_angle_alpha 90.00
_cell_angle_beta 90.00
_cell_angle_gamma 90.00
loop_
_atom_site_label
_atom_site_fract_x
_atom_site_fract_y
_atom_site_fract_z
Li1 0.000 0.000 0.000
Tm1 0.000 0.500 0.254
Hg1 0.500 0.500 0.500
```

No. 3
A plane-wave DFT calculation with PBE-GGA was carried out for a relaxed Ba2In4HgPt3 crystal.

The calculation puts the density at 9.6 Mg/m³. As for the formation energy: -0.584 eV/atom.

Geometry as CIF:
```
data_Ba2In4HgPt3
_space_group_name_H-M_alt 'P -4 m 2'
_space_group_IT_number 115
_cell_length_a 4.944
_cell_length_b 4.944
_cell_length_c 10.707
_cell_angle_alpha 90.00
_cell_angle_beta 90.00
_cell_angle_gamma 90.00
loop_
_space_group_symop_operation_xyz
'x,y,z'
'y,-x,-z'
'-x,-y,z'
'-y,x,-z'
'-x,y,z'
'-y,-x,-z'
'x,-y,z'
'y,x,-z'
loop_
_atom_site_label
_atom_site_fract_x
_atom_site_fract_y
_atom_site_fract_z
Ba1 0.000 0.500 0.244
In1 0.000 0.000 0.500
In2 0.000 0.500 0.868
In3 0.500 0.500 0.500
Hg1 0.500 0.500 0.000
Pt1 0.000 0.000 0.000
Pt2 0.000 0.500 0.617
```

No. 4
A plane-wave DFT calculation with PBE-GGA was carried out for a relaxed VFe2IrC crystal.

The calculation puts the density at 11.0 Mg/m³. As for the formation energy: -0.053 eV/atom.

Geometry as CIF:
```
data_VFe2IrC
_space_group_name_H-M_alt 'P 4/m m m'
_space_group_IT_number 123
_space_group_name_Hall '-P 4 2'
_cell_length_a 3.730
_cell_length_b 3.730
_cell_length_c 3.972
_cell_angle_alpha 90.00
_cell_angle_beta 90.00
_cell_angle_gamma 90.00
loop_
_atom_site_label
_atom_site_fract_x
_atom_site_fract_y
_atom_site_fract_z
V1 0.000 0.000 0.000
Fe1 0.000 0.500 0.500
Ir1 0.500 0.500 0.000
C1 0.000 0.000 0.500
```

Computed values of M_tot (unit: Bohr magnetons per cell) for the preceding records, in sequence: 0.0; 0.0; 0.0; 0.0.
Computed values of uncorrected energy (unit: eV per atom) for the preceding records, in sequence: -4.583; -3.155; -3.906; -8.879.